1.
Computed, not measured: a relaxed ScGaRh3 crystal at the GGA-PBE level of DFT.

The calculation puts the calculated total energy at -31.4 eV/cell. Its spin magnetization is 0.002 μB/atom. The density of states at the Fermi level comes out at 6.860 states/eV/cell. The value obtained for the formation energy is 7 meV per atom.

The structure in CIF format:
```
data_ScGaRh3
_symmetry_space_group_name_H-M 'P m -3 m'
_symmetry_Int_Tables_number 221
_symmetry_space_group_name_Hall '-P 4 2 3'
_cell_length_a 4.5183
_cell_length_b 4.5183
_cell_length_c 4.5183
_cell_angle_alpha 90.00
_cell_angle_beta 90.00
_cell_angle_gamma 90.00
loop_
_atom_site_label
_atom_site_type_symbol
_atom_site_fract_x
_atom_site_fract_y
_atom_site_fract_z
Sc1 Sc 0.0000 0.0000 0.0000
Ga1 Ga 0.5000 0.5000 0.5000
Rh1 Rh 0.0000 0.5000 0.5000
```

2.
Computed, not measured: a relaxed Rb2UCuCl8 crystal at the GGA-PBE level of DFT.

The calculation puts the calculated total energy at -51.0 eV/cell. Its spin magnetization is 0.105 μB/atom. The density of states at the Fermi level comes out at 8.184 states/eV/cell.

The structure in CIF format:
```
data_Rb2UCuCl8
_symmetry_space_group_name_H-M 'P -1'
_symmetry_Int_Tables_number 2
_cell_length_a 6.5222
_cell_length_b 6.7467
_cell_length_c 10.6755
_cell_angle_alpha 89.77
_cell_angle_beta 89.55
_cell_angle_gamma 78.59
loop_
_symmetry_equiv_pos_as_xyz
'x,y,z'
'-x,-y,-z'
loop_
_atom_site_label
_atom_site_type_symbol
_atom_site_fract_x
_atom_site_fract_y
_atom_site_fract_z
Rb1 Rb 0.0010 0.4956 0.2678
U1 U 0.5000 0.0000 0.0000
Cu1 Cu 0.5000 0.0000 0.5000
Cl1 Cl 0.1389 0.2315 0.9984
Cl2 Cl 0.2301 0.2319 0.5015
Cl3 Cl 0.3811 0.7867 0.1719
Cl4 Cl 0.3873 0.7827 0.8303
```

3.
Computed, not measured: a relaxed Ca4TeSe2Br crystal at the GGA-PBE level of DFT.

The calculation puts the calculated total energy at -67.2 eV/cell. Its spin magnetization is 0.000 μB/atom. The density of states at the Fermi level comes out at 6.019 states/eV/cell.

The structure in CIF format:
```
data_Ca4TeSe2Br
_symmetry_space_group_name_H-M 'I 4/m m m'
_symmetry_Int_Tables_number 139
_symmetry_space_group_name_Hall '-I 4 2'
_cell_length_a 6.0722
_cell_length_b 6.0722
_cell_length_c 12.1378
_cell_angle_alpha 90.00
_cell_angle_beta 90.00
_cell_angle_gamma 90.00
loop_
_atom_site_label
_atom_site_type_symbol
_atom_site_fract_x
_atom_site_fract_y
_atom_site_fract_z
Ca1 Ca 0.0000 0.0000 0.2501
Ca2 Ca 0.0000 0.5000 0.0000
Te1 Te 0.0000 0.0000 0.0000
Se1 Se 0.0000 0.5000 0.2500
Br1 Br 0.0000 0.0000 0.5000
```

4.
Computed, not measured: a relaxed BiSeBr2Cl crystal at the GGA-PBE level of DFT.

The calculation puts the calculated total energy at -12.3 eV/cell. Its spin magnetization is 0.400 μB/atom. The density of states at the Fermi level comes out at 4.298 states/eV/cell.

The structure in CIF format:
```
data_BiSeBr2Cl
_symmetry_space_group_name_H-M 'P 4/m m m'
_symmetry_Int_Tables_number 123
_symmetry_space_group_name_Hall '-P 4 2'
_cell_length_a 5.6057
_cell_length_b 5.6057
_cell_length_c 5.9620
_cell_angle_alpha 90.00
_cell_angle_beta 90.00
_cell_angle_gamma 90.00
loop_
_atom_site_label
_atom_site_type_symbol
_atom_site_fract_x
_atom_site_fract_y
_atom_site_fract_z
Bi1 Bi 0.0000 0.0000 0.0000
Se1 Se 0.0000 0.0000 0.5000
Br1 Br 0.0000 0.5000 0.0000
Cl1 Cl 0.5000 0.5000 0.5000
```

Q: Look up the calculated total energy of the second one.
A: -51.0 eV/cell

Copy entry 1 word for word.
Computed, not measured: a relaxed ScGaRh3 crystal at the GGA-PBE level of DFT.

The calculation puts the calculated total energy at -31.4 eV/cell. Its spin magnetization is 0.002 μB/atom. The density of states at the Fermi level comes out at 6.860 states/eV/cell. The value obtained for the formation energy is 7 meV per atom.

The structure in CIF format:
```
data_ScGaRh3
_symmetry_space_group_name_H-M 'P m -3 m'
_symmetry_Int_Tables_number 221
_symmetry_space_group_name_Hall '-P 4 2 3'
_cell_length_a 4.5183
_cell_length_b 4.5183
_cell_length_c 4.5183
_cell_angle_alpha 90.00
_cell_angle_beta 90.00
_cell_angle_gamma 90.00
loop_
_atom_site_label
_atom_site_type_symbol
_atom_site_fract_x
_atom_site_fract_y
_atom_site_fract_z
Sc1 Sc 0.0000 0.0000 0.0000
Ga1 Ga 0.5000 0.5000 0.5000
Rh1 Rh 0.0000 0.5000 0.5000
```

Q: What is the calculated total energy in the fourth record?
A: -12.3 eV/cell

Q: Look up the calculated total energy of the second one.
A: -51.0 eV/cell